Crystalline SrPHOs at its relaxed geometry, computed with PBE.

Lattice parameters (Å, degrees): 4.0620 4.0620 8.4627 90.00 90.00 90.00
Closest atoms and distances in Å follow each position.
Atoms (fractional coordinates):
Sr: 0.5000 0.0000 0.6618  4 H 2.45
Sr: 0.0000 0.5000 0.3382  4 H 2.45
P: 0.0000 0.5000 0.8579  4 Os 2.36
P: 0.5000 0.0000 0.1421  4 Os 2.36
H: 0.0000 0.0000 0.5000  4 Sr 2.45
H: 0.5000 0.5000 0.5000  4 Sr 2.45
Os: 0.5000 0.5000 0.0000  4 P 2.36
Os: 0.0000 0.0000 0.0000  4 P 2.36

Values from the calculation:
ρ: 7.369 Mg/m³
total energy: -6.0800 eV/atom
D(E_F): 1.58 states/eV per cell